[1]
{"formula": "YTe2IF", "functional": "PBE-GGA", "state": "optimized geometry", "space_group": "No. 123", "relative_energy_kj_per_mol_fu": 81, "cell": [[5.9362, 0.0000, 0.0000], [0.0000, 5.9362, 0.0000], [0.0000, 0.0000, 5.9007]], "species": ["Y", "Te", "Te", "I", "F"], "frac_coords": [[0.0000, 0.0000, 0.0000], [0.0000, 0.5000, 0.0000], [0.5000, 0.0000, 0.0000], [0.0000, 0.0000, 0.5000], [0.5000, 0.5000, 0.5000]]}

[2]
{"formula": "YTe2IF", "functional": "PBE-GGA", "state": "optimized geometry", "space_group": "No. 123", "relative_energy_kj_per_mol_fu": 0, "cell": [[4.7925, 0.0000, 0.0000], [0.0000, 4.7925, 0.0000], [0.0000, 0.0000, 5.9374]], "species": ["Y", "Te", "Te", "I", "F"], "frac_coords": [[0.0000, 0.0000, 0.0000], [0.0000, 0.5000, 0.5000], [0.5000, 0.0000, 0.5000], [0.5000, 0.5000, 0.0000], [0.5000, 0.5000, 0.5000]]}

Number 1: final energy -3.676 eV per atom, ΔE_f (raw) -0.442 eV per atom, N(E_F) 8.2 states/eV/f.u.. Number 2: final energy -3.843 eV per atom, ΔE_f (raw) -0.610 eV per atom, N(E_F) 3.0 states/eV/f.u..